Computed, not measured: a relaxed structure of MnGeF2 at the GGA+U level of DFT.

abc: 4.375 4.375 4.375
angles: 60.00 60.00 60.00
Element x y z (fractional)
Mn1 0.000 0.000 0.000
Ge1 0.500 0.500 0.500
F1 0.250 0.250 0.250
F2 0.750 0.750 0.750

Properties
DOS(E_F): 0.47 states/eV/atom
excess energy over the best structure of this formula in the dataset: 711 meV/atom
calculated volume: 59.2 Å³ per cell